An optimized crystal structure of DyHoTlPt. Source: Alexandria via LeMat-Bulk, functional PBE.

Results
- VASP energy: -5.096 eV per atom
- Volume: 384 Å³/cell
- Density of states at the Fermi level: 13.8 states/eV per cell

Cell lengths 7.2672, 7.2672, 7.2672 Å; angles 90.00, 90.00, 90.00 degrees
Space group F-43m (No. 216)
Symmetry-distinct sites (fractional):
Dy (0.0000, 0.0000, 0.0000) (multiplicity 4)
Ho (0.0000, 0.0000, 0.5000) (multiplicity 4)
Tl (0.2500, 0.2500, 0.2500) (multiplicity 4)
Pt (0.2500, 0.2500, 0.7500) (multiplicity 4)

An optimized crystal structure of ScTa2W. Source: Alexandria via LeMat-Bulk, functional PBE.

Results
- VASP energy: -10.394 eV per atom
- Volume: 224 Å³/cell
- Density of states at the Fermi level: 13.6 states/eV per cell

Cell lengths 2.9219, 2.9219, 30.2376 Å; angles 90.00, 90.00, 120.00 degrees
Space group R3m (No. 160, hexagonal axes)
Symmetry-distinct sites (fractional):
Sc (0.0000, 0.0000, 0.0000) (multiplicity 3)
Ta (0.0000, 0.0000, 0.5035) (multiplicity 3)
Ta (0.0000, 0.0000, 0.7527) (multiplicity 3)
W (0.0000, 0.0000, 0.2511) (multiplicity 3)

An optimized crystal structure of Tb15PrY4. Source: Alexandria via LeMat-Bulk, functional PBE.

Results
- VASP energy: -4.986 eV per atom
- Volume: 644 Å³/cell
- Density of states at the Fermi level: 27.4 states/eV per cell

Cell lengths 5.0509, 5.0509, 25.2579 Å; angles 90.00, 90.00, 90.00 degrees
Space group P4/mmm (No. 123)
Symmetry-distinct sites (fractional):
Tb (0.0000, 0.0000, 0.0000) (multiplicity 1)
Tb (0.0000, 0.0000, 0.2014) (multiplicity 2)
Tb (0.0000, 0.0000, 0.4003) (multiplicity 2)
Tb (0.0000, 0.5000, 0.1013) (multiplicity 4)
Tb (0.0000, 0.5000, 0.3006) (multiplicity 4)
Tb (0.0000, 0.5000, 0.5000) (multiplicity 2)
Pr (0.5000, 0.5000, 0.0000) (multiplicity 1)
Y (0.5000, 0.5000, 0.2009) (multiplicity 2)
Y (0.5000, 0.5000, 0.4003) (multiplicity 2)

An optimized crystal structure of La2ZnRhC. Source: Alexandria via LeMat-Bulk, functional PBE.

Results
- VASP energy: -5.888 eV per atom
- Volume: 112 Å³/cell
- Density of states at the Fermi level: 3.8 states/eV per cell

Cell lengths 5.3582, 5.3582, 3.9058 Å; angles 90.00, 90.00, 90.00 degrees
Space group P4/mmm (No. 123)
Symmetry-distinct sites (fractional):
La (0.0000, 0.5000, 0.0000) (multiplicity 2)
Zn (0.0000, 0.0000, 0.5000) (multiplicity 1)
Rh (0.5000, 0.5000, 0.5000) (multiplicity 1)
C (0.5000, 0.5000, 0.0000) (multiplicity 1)

An optimized crystal structure of Nd2GaCo2. Source: Alexandria via LeMat-Bulk, functional PBE.

Results
- VASP energy: -5.636 eV per atom
- Volume: 198 Å³/cell
- Density of states at the Fermi level: 9.0 states/eV per cell

Cell lengths 4.1022, 5.5126, 8.7411 Å; angles 90.00, 90.00, 90.00 degrees
Space group Immm (No. 71)
Symmetry-distinct sites (fractional):
Nd (0.0000, 0.0000, 0.2043) (multiplicity 4)
Ga (0.0000, 0.5000, 0.0000) (multiplicity 2)
Co (0.0000, 0.2847, 0.5000) (multiplicity 4)

An optimized crystal structure of MgTi. Source: Alexandria via LeMat-Bulk, functional PBE.

Results
- VASP energy: -4.518 eV per atom
- Volume: 231 Å³/cell
- Density of states at the Fermi level: 15.3 states/eV per cell

Cell lengths 9.1207, 5.2403, 5.8968 Å; angles 90.00, 124.86, 90.00 degrees
Space group C2 (No. 5)
Symmetry-distinct sites (fractional):
Mg (0.0000, 0.0000, 0.0000) (multiplicity 2)
Mg (0.1622, 0.3333, 0.4944) (multiplicity 4)
Ti (0.0000, 0.8298, 0.5000) (multiplicity 2)
Ti (0.1735, 0.5048, 0.0076) (multiplicity 4)

An optimized crystal structure of AgAs2Au2. Source: Alexandria via LeMat-Bulk, functional PBE.

Results
- Energy above the most stable polymorph in this dataset: 0.0638 eV per atom
- Volume: 214 Å³/cell
- Density of states at the Fermi level: 2.6 states/eV per cell

Cell lengths 4.4942, 4.4942, 10.5843 Å; angles 90.00, 90.00, 90.00 degrees
Space group I4/mmm (No. 139)
Symmetry-distinct sites (fractional):
Ag (0.0000, 0.0000, 0.0000) (multiplicity 2)
As (0.0000, 0.0000, 0.3841) (multiplicity 4)
Au (0.0000, 0.5000, 0.2500) (multiplicity 4)

An optimized crystal structure of Pr4NiRh3. Source: Alexandria via LeMat-Bulk, functional PBE.

Results
- VASP energy: -6.448 eV per atom
- Volume: 188 Å³/cell
- Density of states at the Fermi level: 4.0 states/eV per cell

Cell lengths 4.0195, 4.2026, 11.1164 Å; angles 90.00, 90.00, 90.00 degrees
Space group Pmm2 (No. 25)
Symmetry-distinct sites (fractional):
Pr (0.0000, 0.0000, 0.0000) (multiplicity 1)
Pr (0.0000, 0.5000, 0.2802) (multiplicity 1)
Pr (0.5000, 0.0000, 0.4999) (multiplicity 1)
Pr (0.5000, 0.5000, 0.7802) (multiplicity 1)
Ni (0.0000, 0.0000, 0.7140) (multiplicity 1)
Rh (0.0000, 0.5000, 0.5679) (multiplicity 1)
Rh (0.5000, 0.0000, 0.2270) (multiplicity 1)
Rh (0.5000, 0.5000, 0.0498) (multiplicity 1)

The following total magnetization values (in μB per formula unit) correspond, in order, to the records above: 0.0, 0.0, 0.0, 0.0, 0.1, 0.5, 0.0, 0.0.